First-principles (GGA-PBE) data for AlFeCuRu after structural relaxation, as listed in the Alexandria database.

Cell: 5.930 5.930 5.930 Å, 90.00 90.00 90.00°
Space group F-43m (No. 216)
Asymmetric unit:
Al 0.000 0.000 0.000 [4 per cell]
Fe 0.000 0.000 0.500 [4 per cell]
Cu 0.250 0.250 0.250 [4 per cell]
Ru 0.250 0.250 0.750 [4 per cell]

Results
The total moment comes out at 12.70 μB per cell. The calculation puts the density of states at the Fermi level at 11.928 states/eV/cell. For the density, the calculation gives 7.9 Mg/m³. The calculation puts the total energy at -0.48336 Ry per atom.

=====

First-principles (GGA-PBE) data for SrAlFeCu2 after structural relaxation, as listed in the Alexandria database.

Cell: 4.685 4.685 4.682 Å, 90.00 90.00 90.00°
Space group P4/mmm (No. 123)
Asymmetric unit:
Sr 0.000 0.000 0.000 [1 per cell]
Al 0.500 0.500 0.500 [1 per cell]
Fe 0.500 0.500 0.000 [1 per cell]
Cu 0.000 0.500 0.500 [2 per cell]

Results
The total moment comes out at 2.65 μB per cell. The calculation puts the density of states at the Fermi level at 3.654 states/eV/cell. For the density, the calculation gives 4.8 Mg/m³. The calculation puts the total energy at -0.29893 Ry per atom.

=====

First-principles (GGA-PBE) data for AlFeCuTc after structural relaxation, as listed in the Alexandria database.

Cell: 5.948 5.948 5.948 Å, 90.00 90.00 90.00°
Space group F-43m (No. 216)
Asymmetric unit:
Al 0.000 0.000 0.000 [4 per cell]
Fe 0.000 0.000 0.500 [4 per cell]
Cu 0.250 0.250 0.250 [4 per cell]
Tc 0.250 0.250 0.750 [4 per cell]

Results
The total moment comes out at 11.30 μB per cell. The calculation puts the density of states at the Fermi level at 18.862 states/eV/cell. For the density, the calculation gives 7.7 Mg/m³. The calculation puts the total energy at -0.49305 Ry per atom.

=====

> Which value of total energy does entry 3 give?

-0.49305 Ry per atom

=====

> What is the total moment in the first record?

12.70 μB per cell